Density functional theory data (GGA-PBEsol) for Li4Co3O7 after structural relaxation.

abc: 14.0675 14.0675 5.6475
angles: 96.04 96.04 11.45
Closest atoms and distances in Å follow each position.
Atoms (fractional coordinates):
Li: 0.0000 0.0000 0.0000  6 O 1.99-2.11
Li: 0.0000 0.0000 0.5000  6 O 2.01-2.02
Li: 0.1421 0.1421 0.5663  6 O 1.95-2.10
Li: 0.2862 0.2862 0.1445  6 O 2.07-2.09
Li: 0.4347 0.4347 0.7087  5 O 1.98-2.16
Li: 0.5653 0.5653 0.2913  5 O 1.98-2.16
Li: 0.7138 0.7138 0.8555  6 O 2.07-2.09
Li: 0.8579 0.8579 0.4337  6 O 1.95-2.10
Co: 0.1428 0.1428 0.0687  6 O 1.88-1.91
Co: 0.2857 0.2857 0.6444  6 O 1.89-1.91
Co: 0.4302 0.4302 0.2219  6 O 1.78-1.95
Co: 0.5698 0.5698 0.7781  6 O 1.78-1.95
Co: 0.7143 0.7143 0.3556  6 O 1.89-1.91
Co: 0.8572 0.8572 0.9313  6 O 1.88-1.91
O: 0.0724 0.0724 0.5597  2 Co 1.88, 4 Li 1.95-2.06
O: 0.0755 0.0755 0.0114  3 Co 1.88-1.92
O: 0.2114 0.2114 0.1269  3 Co 1.90-1.91, 3 Li 2.08
O: 0.2173 0.2173 0.5844  3 Co 1.90-1.91, 3 Li 2.09-2.10
O: 0.3534 0.3534 0.7042  3 Co 1.89-1.90, 2 Li 2.09
O: 0.3603 0.3603 0.1587  3 Co 1.90-1.95, 3 Li 2.07-2.10
O: 0.4942 0.4942 0.2448  1 Co 1.78, 3 Li 1.98-1.99
O: 0.5058 0.5058 0.7552  1 Co 1.78, 3 Li 1.98-1.99
O: 0.6397 0.6397 0.8413  3 Co 1.90-1.95, 3 Li 2.07-2.10
O: 0.6466 0.6466 0.2958  3 Co 1.89-1.90, 2 Li 2.09
O: 0.7827 0.7827 0.4156  3 Co 1.90-1.91, 3 Li 2.09-2.10
O: 0.7886 0.7886 0.8731  3 Co 1.90-1.91, 3 Li 2.08
O: 0.9245 0.9245 0.9886  3 Co 1.88-1.92
O: 0.9276 0.9276 0.4403  2 Co 1.88, 4 Li 1.95-2.06

Calculated values
space-group type: C2/m (12)
E_form (uncorrected): -21.5 eV/f.u.

Density functional theory data (GGA-PBEsol) for Li17Co4O16 after structural relaxation.

abc: 7.1503 6.5637 7.4852
angles: 90.00 90.91 90.00
Closest atoms and distances in Å follow each position.
Atoms (fractional coordinates):
Li: 0.0000 0.0000 0.0000  4 O 1.92-2.10
Li: 0.0307 0.5000 0.5683  4 O 1.93-2.15
Li: 0.2220 0.2727 0.2259  4 O 1.99-2.23
Li: 0.2220 0.7273 0.2259  4 O 1.99-2.23
Li: 0.2247 0.2661 0.8783  4 O 1.91-1.96
Li: 0.2247 0.7339 0.8783  4 O 1.91-1.96
Li: 0.3215 0.2426 0.5636  4 O 1.94-2.06
Li: 0.3215 0.7574 0.5636  4 O 1.94-2.06
Li: 0.4530 0.0000 0.2255  4 O 1.93-2.17
Li: 0.4853 0.5000 0.0121  4 O 1.90-2.12
Li: 0.5962 0.5000 0.7145  4 O 1.88-1.95
Li: 0.7177 0.2351 0.0140  4 O 1.90-1.94
Li: 0.7177 0.7649 0.0140  4 O 1.90-1.94
Li: 0.7859 0.2024 0.6821  3 O 1.95-2.05
Li: 0.7859 0.7976 0.6821  3 O 1.95-2.05
Li: 0.7933 0.2384 0.3324  3 O 1.89-2.00
Li: 0.7933 0.7616 0.3324  3 O 1.89-2.00
Co: 0.0507 0.0000 0.5430  4 O 1.80-1.82
Co: 0.4859 0.0000 0.8491  4 O 1.78-1.81
Co: 0.5303 0.5000 0.3488  4 O 1.81-1.85
Co: 0.9728 0.5000 0.0488  4 O 1.76-1.78
O: 0.0665 0.2329 0.6716  1 Co 1.81, 4 Li 1.91-2.02
O: 0.0665 0.7671 0.6716  1 Co 1.81, 4 Li 1.91-2.02
O: 0.2213 0.5000 0.0388  1 Co 1.78, 3 Li 1.90-1.95
O: 0.2545 0.0000 0.4007  1 Co 1.82, 1 Li 1.95
O: 0.2824 0.0000 0.9837  1 Co 1.78, 2 Li 1.96
O: 0.2956 0.5000 0.4376  1 Co 1.82, 2 Li 1.94
O: 0.4750 0.2585 0.7802  1 Co 1.78, 3 Li 1.88-1.95
O: 0.4750 0.7415 0.7802  1 Co 1.78, 3 Li 1.88-1.95
O: 0.5459 0.2760 0.2089  1 Co 1.81, 3 Li 1.93-2.00
O: 0.5459 0.7240 0.2089  1 Co 1.81, 3 Li 1.93-2.00
O: 0.7388 0.0000 0.8667  1 Co 1.81, 4 Li 1.90-1.95
O: 0.7407 0.5000 0.4959  1 Co 1.85, 1 Li 1.95
O: 0.7630 0.5000 0.9216  1 Co 1.76, 3 Li 1.90-1.94
O: 0.8076 0.0000 0.4745  1 Co 1.80, 2 Li 1.89
O: 0.9607 0.2469 0.1315  1 Co 1.78, 3 Li 1.92-1.94
O: 0.9607 0.7531 0.1315  1 Co 1.78, 3 Li 1.92-1.94

Calculated values
space-group type: Pm (6)
E_form (uncorrected): -58.1 eV/f.u.

Density functional theory data (GGA-PBEsol) for LiCo4O8 after structural relaxation.

abc: 9.5357 9.5357 9.5357
angles: 34.19 34.19 34.19
Closest atoms and distances in Å follow each position.
Atoms (fractional coordinates):
Li: 0.2488 0.2488 0.2488  6 O 2.06-2.09
Li: 0.7512 0.7512 0.7512  6 O 2.06-2.09
Co: 0.0000 0.0000 0.0000  6 O 1.87
Co: 0.2499 0.2499 0.7499  6 O 1.86
Co: 0.2499 0.7499 0.2499  6 O 1.86
Co: 0.2501 0.7501 0.7501  6 O 1.86
Co: 0.5000 0.5000 0.5000  6 O 1.87
Co: 0.7499 0.2499 0.2499  6 O 1.86
Co: 0.7501 0.2501 0.7501  6 O 1.86
Co: 0.7501 0.7501 0.2501  6 O 1.86
O: 0.1045 0.1045 0.6581  3 Co 1.86-1.87
O: 0.1045 0.6581 0.1045  3 Co 1.86-1.87
O: 0.1174 0.1174 0.1174  3 Co 1.86
O: 0.1582 0.6045 0.6045  3 Co 1.86-1.87, 1 Li 2.06
O: 0.3419 0.8955 0.8955  3 Co 1.86-1.87
O: 0.3826 0.3826 0.3826  3 Co 1.86
O: 0.3955 0.3955 0.8418  3 Co 1.86-1.87, 1 Li 2.06
O: 0.3955 0.8418 0.3955  3 Co 1.86-1.87, 1 Li 2.06
O: 0.6045 0.1582 0.6045  3 Co 1.86-1.87, 1 Li 2.06
O: 0.6045 0.6045 0.1582  3 Co 1.86-1.87, 1 Li 2.06
O: 0.6174 0.6174 0.6174  3 Co 1.86
O: 0.6581 0.1045 0.1045  3 Co 1.86-1.87
O: 0.8418 0.3955 0.3955  3 Co 1.86-1.87, 1 Li 2.06
O: 0.8826 0.8826 0.8826  3 Co 1.86
O: 0.8955 0.3419 0.8955  3 Co 1.86-1.87
O: 0.8955 0.8955 0.3419  3 Co 1.86-1.87

Calculated values
space-group type: R-3m (166)
E_form (uncorrected): -14.3 eV/f.u.

Density functional theory data (GGA-PBEsol) for Li3Co13O16 after structural relaxation.

abc: 5.2696 5.8973 9.9127
angles: 73.93 83.76 78.71
Closest atoms and distances in Å follow each position.
Atoms (fractional coordinates):
Li: 0.0000 0.0000 0.0000  2 O 1.89
Li: 0.3483 0.6335 0.7785  3 O 1.89-1.96
Li: 0.6517 0.3665 0.2215  3 O 1.89-1.96
Co: 0.0000 0.5000 0.0000  4 O 1.80-1.97
Co: 0.0778 0.0459 0.2533  4 O 1.94-2.04
Co: 0.1674 0.5076 0.2890  4 O 1.91-1.99
Co: 0.2473 0.1473 0.4980  4 O 1.86-1.91
Co: 0.3422 0.6882 0.5011  4 O 1.95-1.99
Co: 0.3634 0.1659 0.7654  6 O 1.87-1.92
Co: 0.4889 0.7554 0.9925  6 O 1.85-1.99
Co: 0.5111 0.2446 0.0075  6 O 1.85-1.99
Co: 0.6365 0.8341 0.2346  6 O 1.87-1.92
Co: 0.6578 0.3118 0.4989  4 O 1.95-1.99
Co: 0.7527 0.8527 0.5020  4 O 1.86-1.91
Co: 0.8326 0.4924 0.7110  4 O 1.91-1.99
Co: 0.9222 0.9541 0.7467  4 O 1.94-2.04
O: 0.0262 0.7455 0.6221  4 Co 1.87-1.97
O: 0.0786 0.2525 0.6500  4 Co 1.86-2.04
O: 0.2249 0.8920 0.8603  3 Co 1.87-1.97, 2 Li 1.89
O: 0.2296 0.3419 0.8955  3 Co 1.80-1.87, 1 Li 1.96
O: 0.3097 0.4951 0.0959  4 Co 1.95-1.99
O: 0.3523 0.9709 0.1154  4 Co 1.92-1.98
O: 0.4718 0.9737 0.3829  4 Co 1.90-1.96
O: 0.4853 0.5626 0.3416  1 Li 1.91, 4 Co 1.92-1.99
O: 0.5147 0.4374 0.6584  1 Li 1.91, 4 Co 1.92-1.99
O: 0.5282 0.0263 0.6171  4 Co 1.90-1.96
O: 0.6477 0.0291 0.8846  4 Co 1.92-1.98
O: 0.6903 0.5049 0.9041  4 Co 1.95-1.99
O: 0.7704 0.6581 0.1045  3 Co 1.80-1.87, 1 Li 1.96
O: 0.7751 0.1080 0.1397  3 Co 1.87-1.97, 2 Li 1.89
O: 0.9214 0.7475 0.3500  4 Co 1.86-2.04
O: 0.9738 0.2545 0.3779  4 Co 1.87-1.97

Calculated values
space-group type: P-1 (2)
E_form (uncorrected): -28.7 eV/f.u.

Density functional theory data (GGA-PBEsol) for Li9Co7O16 after structural relaxation.

abc: 7.4252 7.4252 4.8828
angles: 102.55 102.55 98.20
Closest atoms and distances in Å follow each position.
Atoms (fractional coordinates):
Li: 0.0000 0.0000 0.0000  6 O 2.02
Li: 0.0000 0.5000 0.5000  6 O 1.97-2.09
Li: 0.1189 0.8811 0.5000  6 O 2.05-2.12
Li: 0.2431 0.2431 0.4882  6 O 1.97-2.14
Li: 0.3736 0.6264 0.5000  6 O 2.07-2.09
Li: 0.5000 0.0000 0.5000  6 O 1.97-2.09
Li: 0.6264 0.3736 0.5000  6 O 2.07-2.09
Li: 0.7569 0.7569 0.5118  6 O 1.97-2.14
Li: 0.8811 0.1189 0.5000  6 O 2.05-2.12
Co: 0.1237 0.3720 0.9993  6 O 1.86-1.92
Co: 0.2478 0.7522 0.0000  6 O 1.86-1.91
Co: 0.3720 0.1237 0.9993  6 O 1.86-1.92
Co: 0.5000 0.5000 0.0000  6 O 1.89-1.91
Co: 0.6280 0.8763 0.0007  6 O 1.86-1.92
Co: 0.7522 0.2478 0.0000  6 O 1.86-1.91
Co: 0.8763 0.6280 0.0007  6 O 1.86-1.92
O: 0.0067 0.7398 0.7751  2 Co 1.86, 3 Li 1.97-2.05
O: 0.1194 0.6201 0.2160  3 Co 1.90-1.92, 3 Li 2.07-2.12
O: 0.1401 0.1401 0.7736  2 Co 1.87, 4 Li 1.97-2.05
O: 0.2567 0.5064 0.7866  3 Co 1.89-1.91, 2 Li 2.09
O: 0.2602 0.9933 0.2249  2 Co 1.86, 3 Li 1.97-2.05
O: 0.3693 0.3693 0.2170  3 Co 1.91, 3 Li 2.08-2.09
O: 0.3799 0.8806 0.7840  3 Co 1.90-1.92, 3 Li 2.07-2.12
O: 0.4936 0.7433 0.2134  3 Co 1.89-1.91, 2 Li 2.09
O: 0.5064 0.2567 0.7866  3 Co 1.89-1.91, 2 Li 2.09
O: 0.6201 0.1194 0.2160  3 Co 1.90-1.92, 3 Li 2.07-2.12
O: 0.6307 0.6307 0.7830  3 Co 1.91, 3 Li 2.08-2.09
O: 0.7398 0.0067 0.7751  2 Co 1.86, 3 Li 1.97-2.05
O: 0.7433 0.4936 0.2134  3 Co 1.89-1.91, 2 Li 2.09
O: 0.8599 0.8599 0.2264  2 Co 1.87, 4 Li 1.97-2.05
O: 0.8806 0.3799 0.7840  3 Co 1.90-1.92, 3 Li 2.07-2.12
O: 0.9933 0.2602 0.2249  2 Co 1.86, 3 Li 1.97-2.05

Calculated values
space-group type: C2/m (12)
E_form (uncorrected): -49.9 eV/f.u.

Density functional theory data (GGA-PBEsol) for Li6Co5O10 after structural relaxation.

abc: 5.1589 5.2311 8.2369
angles: 77.77 88.07 74.68
Closest atoms and distances in Å follow each position.
Atoms (fractional coordinates):
Li: 0.2113 0.4242 0.2516  4 O 1.98-2.06
Li: 0.2323 0.5607 0.5487  5 O 1.95-2.11
Li: 0.2654 0.5569 0.9217  4 O 1.92-2.13
Li: 0.7346 0.4431 0.0783  4 O 1.92-2.13
Li: 0.7677 0.4393 0.4513  5 O 1.95-2.11
Li: 0.7887 0.5758 0.7484  4 O 1.98-2.06
Co: 0.1154 0.9615 0.2006  4 O 1.79-1.83
Co: 0.2986 0.0214 0.5930  4 O 1.81-1.83
Co: 0.5000 0.0000 0.0000  4 O 1.80-1.84
Co: 0.7014 0.9786 0.4070  4 O 1.81-1.83
Co: 0.8846 0.0385 0.7994  4 O 1.79-1.83
O: 0.0163 0.2807 0.6494  2 Co 1.82-1.83, 2 Li 1.98-2.00
O: 0.1213 0.7889 0.7104  2 Co 1.80-1.81, 2 Li 1.94-1.95
O: 0.2068 0.2330 0.0590  2 Co 1.79-1.80, 1 Li 1.92
O: 0.3566 0.7212 0.1007  2 Co 1.83-1.84, 1 Li 1.98
O: 0.4449 0.2615 0.4548  2 Co 1.81, 2 Li 1.95-1.99
O: 0.5551 0.7385 0.5452  2 Co 1.81, 2 Li 1.95-1.99
O: 0.6434 0.2788 0.8993  2 Co 1.83-1.84, 1 Li 1.98
O: 0.7932 0.7670 0.9410  2 Co 1.79-1.80, 1 Li 1.92
O: 0.8787 0.2111 0.2896  2 Co 1.80-1.81, 2 Li 1.94-1.95
O: 0.9837 0.7193 0.3506  2 Co 1.82-1.83, 2 Li 1.98-2.00

Calculated values
space-group type: P-1 (2)
E_form (uncorrected): -28.7 eV/f.u.